(1)
Entry from Alexandria via LeMat-Bulk: a relaxed ZnNi4Mo crystal (PBE).

a = 6.246 Å, b = 6.247 Å, c = 6.119 Å
α = 120.69°, β = 120.69°, γ = 90.00°
Atoms (fractional coordinates):
Ni 0.384 0.102 0.493
Mo 0.750 0.250 0.500
Ni 0.641 0.134 0.993
Ni 0.110 0.392 0.493
Ni 0.140 0.358 0.007
Mo 0.500 0.500 0.000
Ni 0.866 0.648 0.007
Zn 0.250 0.750 0.500
Ni 0.352 0.860 0.993
Ni 0.898 0.890 0.507
Zn 0.000 0.000 0.000
Ni 0.609 0.616 0.507

- symmetry = I4_1/a (88)
- crystal system = tetragonal


(2)
Entry from Alexandria via LeMat-Bulk: a relaxed PrFeGe3 crystal (PBE).

a = 4.334 Å, b = 4.334 Å, c = 5.865 Å
α = 111.70°, β = 111.70°, γ = 90.00°
Atoms (fractional coordinates):
Ge 0.321 0.822 0.642
Ge 0.005 0.005 0.010
Ge 0.822 0.321 0.642
Fe 0.232 0.232 0.463
Pr 0.565 0.565 0.130

- symmetry = I4mm (107)
- crystal system = tetragonal


One value per record, in order, for DFT formation energy: 0.391 -0.497 eV/atom.
One value per record, in order, for final energy: -0.4028 -0.4348 Ry per atom.